Entry 1:
Density functional theory data (GGA-PBE) for a geometry-optimized YMg2Zn2 structure.

Summary:
- space-group type = P4/mbm
- formation energy from the elements (eV per atom) = -0.095
- M_tot (μB per formula unit) = 0.00
- excess energy over the best structure of this formula in the dataset (meV/atom) = 120.3
- total DFT energy (no corrections) (eV per atom) = -2.53

Cell: 8.2695 8.2695 2.9731 Å, 90.00 90.00 90.00°
Last column: nearest neighbours and their distance in Å.
Fractional positions:
Y: 0.0000 0.0000 0.0000  2 Y 2.97, 4 Mg 3.27
Y: 0.5000 0.5000 0.0000  2 Y 2.97, 4 Mg 3.27
Mg: 0.1257 0.3743 0.0000  6 Zn 2.79-2.90, 3 Mg 2.94-2.97
Mg: 0.3743 0.8743 0.0000  6 Zn 2.79-2.90, 3 Mg 2.94-2.97
Mg: 0.6257 0.1257 0.0000  6 Zn 2.79-2.90, 3 Mg 2.94-2.97
Mg: 0.8743 0.6257 0.0000  6 Zn 2.79-2.90, 3 Mg 2.94-2.97
Zn: 0.1721 0.6721 0.5000  6 Mg 2.79-2.90, 2 Zn 2.97
Zn: 0.3279 0.1721 0.5000  6 Mg 2.79-2.90, 2 Zn 2.97
Zn: 0.6721 0.8279 0.5000  6 Mg 2.79-2.90, 2 Zn 2.97
Zn: 0.8279 0.3279 0.5000  6 Mg 2.79-2.90, 2 Zn 2.97

---

Entry 2:
Density functional theory data (GGA-PBE) for a geometry-optimized Y2Mg2Zn structure.

Summary:
- space-group type = Cmmm
- formation energy from the elements (eV per atom) = -0.097
- M_tot (μB per formula unit) = 0.18
- excess energy over the best structure of this formula in the dataset (meV/atom) = 0.0
- total DFT energy (no corrections) (eV per atom) = -3.58

Cell: 11.2491 11.2491 3.3658 Å, 90.00 90.00 162.24°
Last column: nearest neighbours and their distance in Å.
Fractional positions:
Y: 0.0849 0.9151 0.0000  4 Zn 3.07, 2 Y 3.37, 4 Mg 3.39
Y: 0.9151 0.0849 0.0000  4 Zn 3.07, 2 Y 3.37, 4 Mg 3.39
Mg: 0.3080 0.6920 0.5000  6 Mg 3.11-3.47, 4 Y 3.39
Mg: 0.6920 0.3080 0.5000  6 Mg 3.11-3.47, 4 Y 3.39
Zn: 0.5000 0.5000 0.5000  8 Y 3.07, 2 Zn 3.37

---

Entry 3:
Density functional theory data (GGA-PBE) for a geometry-optimized YMg3Zn4 structure.

Summary:
- space-group type = P4/mmm
- formation energy from the elements (eV per atom) = -0.188
- M_tot (μB per formula unit) = 0.00
- total DFT energy (no corrections) (eV per atom) = -2.23

Cell: 4.6419 4.6419 7.1329 Å, 90.00 90.00 90.00°
Last column: nearest neighbours and their distance in Å.
Fractional positions:
Y: 0.0000 0.0000 0.0000  8 Zn 2.99, 4 Mg 3.28
Mg: 0.0000 0.0000 0.5000  8 Zn 2.87
Mg: 0.5000 0.5000 0.0000  8 Zn 2.99, 4 Y 3.28
Mg: 0.5000 0.5000 0.5000  8 Zn 2.87
Zn: 0.0000 0.5000 0.2638  6 Mg 2.87-2.99, 2 Y 2.99
Zn: 0.0000 0.5000 0.7362  6 Mg 2.87-2.99, 2 Y 2.99
Zn: 0.5000 0.0000 0.2638  6 Mg 2.87-2.99, 2 Y 2.99
Zn: 0.5000 0.0000 0.7362  6 Mg 2.87-2.99, 2 Y 2.99

---

Entry 4:
Density functional theory data (GGA-PBE) for a geometry-optimized YMg2Zn4 structure.

Summary:
- space-group type = Immm
- formation energy from the elements (eV per atom) = -0.216
- M_tot (μB per formula unit) = 0.00
- total DFT energy (no corrections) (eV per atom) = -2.32

Cell: 9.3519 9.3519 9.3519 Å, 158.55 152.71 34.97°
Last column: nearest neighbours and their distance in Å.
Fractional positions:
Y: 0.0000 0.0000 0.0000  12 Zn 3.09-3.12
Mg: 0.3019 0.8019 0.5000  7 Zn 2.80-2.97
Mg: 0.6981 0.1981 0.5000  7 Zn 2.80-2.97
Zn: 0.1449 0.6449 0.5000  2 Zn 2.56, 1 Mg 2.80
Zn: 0.4284 0.4284 0.0000  3 Zn 2.55-2.56, 2 Mg 2.85
Zn: 0.5716 0.5716 0.0000  3 Zn 2.55-2.56, 2 Mg 2.85
Zn: 0.8551 0.3551 0.5000  2 Zn 2.56, 1 Mg 2.80

---

Look up the formation energy from the elements of the second one. -0.097 eV per atom